(1)
LiTl5Hg6 | GGA-PBE | relaxed

The structure in extended XYZ format:
```
12
Lattice="8.0641 -4.1944 0.0000 8.0641 4.1944 0.0000 -1.5396 0.0000 4.8326" Properties=species:S:1:pos:R:3 pbc="T T T"
Li 0.0000 0.0000 0.0000
Tl 1.8969 0.0000 3.3121
Tl 4.9693 0.0000 1.6491
Tl 8.0641 0.0000 0.0000
Tl 9.6194 0.0000 3.1835
Tl 12.6918 0.0000 1.5205
Hg 4.3030 2.2450 4.0849
Hg 7.2944 2.4606 2.4163
Hg 10.2857 2.2450 0.7477
Hg 4.3030 -2.2450 4.0849
Hg 7.2944 -2.4606 2.4163
Hg 10.2857 -2.2450 0.7477
```

E_form in eV per atom: -0.06
Calculated density in Mg/m³: 11.3

---

(2)
LiTl3Hg4 | GGA-PBE | relaxed

The structure in extended XYZ format:
```
8
Lattice="3.5175 0.0000 0.0000 0.0000 3.5175 0.0000 0.0000 0.0000 16.8785" Properties=species:S:1:pos:R:3 pbc="T T T"
Li 0.0000 0.0000 0.0000
Tl 0.0000 0.0000 3.8586
Tl 0.0000 0.0000 8.4392
Tl 0.0000 0.0000 13.0198
Hg 1.7588 1.7588 1.5647
Hg 1.7588 1.7588 6.1613
Hg 1.7588 1.7588 10.7172
Hg 1.7588 1.7588 15.3137
```

E_form in eV per atom: -0.09
Calculated density in Mg/m³: 11.3

---

(3)
LiTl4Hg5 | GGA-PBE | relaxed

The structure in extended XYZ format:
```
10
Lattice="-4.8492 4.8492 2.9668 4.8492 -4.8492 2.9668 4.8492 4.8492 -2.9668" Properties=species:S:1:pos:R:3 pbc="T T T"
Li 0.0000 0.0000 0.0000
Tl 5.2209 -1.6862 1.3611
Tl 4.4775 1.6862 1.3611
Tl -1.6862 4.4775 1.3611
Tl 1.6862 5.2209 1.3611
Hg 3.4998 2.7641 -1.6646
Hg 2.0851 -1.3494 1.3023
Hg 2.7641 6.1986 -1.6646
Hg 1.3494 2.0851 1.3023
Hg 0.0000 0.0000 3.2641
```

E_form in eV per atom: -0.04
Calculated density in Mg/m³: 10.9

---

(4)
Li5Tl2Hg | GGA-PBE | relaxed

The structure in extended XYZ format:
```
8
Lattice="-3.4518 3.4518 3.2469 3.4518 -3.4518 3.2469 3.4518 3.4518 -3.2469" Properties=species:S:1:pos:R:3 pbc="T T T"
Li 0.0000 0.0000 0.0000
Li 1.7273 1.7273 -1.6204
Li 1.7245 -1.7245 1.6265
Li -1.7245 1.7245 1.6265
Li 1.7245 1.7245 1.6265
Tl 3.4518 0.0000 0.0031
Tl 0.0000 3.4518 0.0031
Hg 0.0000 0.0000 3.2528
```

E_form in eV per atom: -0.24
Calculated density in Mg/m³: 6.9

---

(5)
LiTl7Hg4 | GGA-PBE | relaxed

The structure in extended XYZ format:
```
12
Lattice="8.3159 -2.7972 0.0000 8.3159 2.7972 0.0000 -4.1960 0.0000 7.3775" Properties=species:S:1:pos:R:3 pbc="T T T"
Li 0.0000 0.0000 0.0000
Tl -2.1174 0.0000 5.4031
Tl 2.1874 0.0000 1.6712
Tl 4.5251 0.0000 4.1206
Tl 8.3159 0.0000 0.0000
Tl 7.9107 0.0000 3.2569
Tl 10.2484 0.0000 5.7063
Tl 14.5532 0.0000 1.9744
Hg 0.8945 0.0000 4.5388
Hg 5.1101 0.0000 0.3606
Hg 7.3257 0.0000 7.0169
Hg 11.5413 0.0000 2.8387
```

E_form in eV per atom: 0.01
Calculated density in Mg/m³: 10.8

---

(6)
LiTl3Hg6 | GGA-PBE | relaxed

The structure in extended XYZ format:
```
10
Lattice="-3.8448 3.8448 5.8086 3.8448 -3.8448 5.8086 3.8448 3.8448 -5.8086" Properties=species:S:1:pos:R:3 pbc="T T T"
Li 0.0000 0.0000 0.0000
Tl 3.8448 0.0000 2.9043
Tl 0.0000 0.0000 5.8086
Tl 0.0000 3.8448 2.9043
Hg 2.4317 0.0000 0.0000
Hg 5.2579 0.0000 0.0000
Hg 0.0000 0.0000 2.7399
Hg 0.0000 2.4317 0.0000
Hg 0.0000 5.2579 0.0000
Hg 0.0000 0.0000 8.8773
```

E_form in eV per atom: 0.11
Calculated density in Mg/m³: 8.8